Compound: Ta2Be2Fe
Source: Alexandria via LeMat-Bulk
Functional: SCAN
Structure: PBEsol geometry

* magnetization: 0.83 μB/f.u.
* calculated formation energy: -191 meV per atom
* D(E_F): 3.18 states/eV/cell

Unit cell a=6.044 b=6.044 c=3.294 alpha=90.00 beta=90.00 gamma=90.00
Fractional coordinates of all 10 atoms:
Ta (0.177, 0.323, 0.000)
Ta (0.323, 0.823, 0.000)
Ta (0.677, 0.177, 0.000)
Ta (0.823, 0.677, 0.000)
Be (0.123, 0.623, 0.500)
Be (0.377, 0.123, 0.500)
Be (0.623, 0.877, 0.500)
Be (0.877, 0.377, 0.500)
Fe (0.000, 0.000, 0.500)
Fe (0.500, 0.500, 0.500)

***

Compound: TaBeFe2
Source: Alexandria via LeMat-Bulk
Functional: SCAN
Structure: PBEsol geometry

* magnetization: 3.45 μB/f.u.
* calculated formation energy: 52 meV per atom
* D(E_F): 1.98 states/eV/cell

Unit cell a=2.621 b=3.928 c=4.684 alpha=90.00 beta=101.99 gamma=90.00
Fractional coordinates of all 4 atoms:
Ta (0.000, 0.000, 0.000)
Be (0.626, 0.500, 0.263)
Fe (0.269, 0.500, 0.706)
Fe (0.540, 0.000, 0.494)

***

Compound: TaBe4Fe
Source: Alexandria via LeMat-Bulk
Functional: SCAN
Structure: PBEsol geometry

* magnetization: 0.11 μB/f.u.
* calculated formation energy: -188 meV per atom
* D(E_F): 2.58 states/eV/cell

Unit cell a=4.322 b=4.322 c=4.322 alpha=60.00 beta=60.00 gamma=60.00
Fractional coordinates of all 6 atoms:
Ta (0.000, 0.000, 0.000)
Be (0.124, 0.625, 0.625)
Be (0.625, 0.124, 0.625)
Be (0.625, 0.625, 0.124)
Be (0.625, 0.625, 0.625)
Fe (0.250, 0.250, 0.250)

***

Compound: TaBeFe
Source: Alexandria via LeMat-Bulk
Functional: SCAN
Structure: PBEsol geometry

* magnetization: 0.00 μB/f.u.
* calculated formation energy: 467 meV per atom
* D(E_F): 17.30 states/eV/cell

Unit cell a=5.501 b=5.501 c=5.501 alpha=90.00 beta=90.00 gamma=90.00
Fractional coordinates of all 12 atoms:
Ta (0.000, 0.000, 0.000)
Ta (0.000, 0.500, 0.500)
Ta (0.500, 0.000, 0.500)
Ta (0.500, 0.500, 0.000)
Be (0.000, 0.000, 0.500)
Be (0.000, 0.500, 0.000)
Be (0.500, 0.000, 0.000)
Be (0.500, 0.500, 0.500)
Fe (0.250, 0.250, 0.250)
Fe (0.250, 0.750, 0.750)
Fe (0.750, 0.250, 0.750)
Fe (0.750, 0.750, 0.250)

***

Compound: BeFe2Tc
Source: Alexandria via LeMat-Bulk
Functional: SCAN
Structure: PBEsol geometry

* magnetization: 3.84 μB/f.u.
* calculated formation energy: -3 meV per atom
* D(E_F): 3.43 states/eV/cell

Unit cell a=2.697 b=2.697 c=5.747 alpha=90.00 beta=90.00 gamma=90.00
Fractional coordinates of all 4 atoms:
Be (0.000, 0.000, 0.000)
Fe (0.000, 0.000, 0.444)
Fe (0.500, 0.500, 0.202)
Tc (0.500, 0.500, 0.734)

***

Compound: BeFe2Tc
Source: Alexandria via LeMat-Bulk
Functional: SCAN
Structure: PBEsol geometry

* magnetization: 4.55 μB/f.u.
* calculated formation energy: 67 meV per atom
* D(E_F): 5.58 states/eV/cell

Unit cell a=4.833 b=7.327 c=2.502 alpha=90.00 beta=90.00 gamma=90.00
Fractional coordinates of all 8 atoms:
Be (0.000, 0.000, 0.000)
Be (0.500, 0.500, 0.000)
Fe (0.250, 0.250, 0.500)
Fe (0.250, 0.750, 0.500)
Fe (0.750, 0.250, 0.500)
Fe (0.750, 0.750, 0.500)
Tc (0.000, 0.500, 0.000)
Tc (0.500, 0.000, 0.000)